No. 1
Entry from Alexandria via LeMat-Bulk: a relaxed Sc3ClO crystal (PBE-GGA).

As for the electronic total energy: -6.13 eV per atom. The value obtained for the magnetization is 0.00 μB/cell. The uncorrected formation energy is -0.97 eV per atom. The energy above the most stable polymorph in this dataset is 0.0 kJ per mole of atoms.

It has space group Pm-3m (No. 221), with a = 4.4655 Å, b = 4.4655 Å, c = 4.4655 Å, α = 90.00°, β = 90.00° and γ = 90.00°. The asymmetric unit holds Sc at (0.0000, 0.0000, 0.5000), Cl at (0.5000, 0.5000, 0.5000) and O at (0.0000, 0.0000, 0.0000).

***

No. 2
Entry from Alexandria via LeMat-Bulk: a relaxed Ho4Er6Th crystal (PBE-GGA).

As for the electronic total energy: -4.35 eV per atom. The value obtained for the magnetization is 0.00 μB/cell. The calculated formation energy is 0.48 eV/atom.

It has space group I-42m (No. 121), with a = 7.5756 Å, b = 7.5756 Å, c = 12.9158 Å, α = 90.00°, β = 90.00° and γ = 90.00°. The asymmetric unit holds Ho at (0.1702, 0.1702, 0.4249), Er at (0.0000, 0.5000, 0.0000), Er at (0.2446, 0.2446, 0.1828) and Th at (0.0000, 0.0000, 0.0000).

***

No. 3
Entry from Alexandria via LeMat-Bulk: a relaxed ZnInSe crystal (PBE-GGA).

As for the electronic total energy: -2.59 eV per atom. The value obtained for the magnetization is 0.00 μB/cell. The uncorrected formation energy is -0.09 eV per atom. The energy above the most stable polymorph in this dataset is 18.0 kJ per mole of atoms.

It has space group I4mm (No. 107), with a = 3.5746 Å, b = 3.5746 Å, c = 11.9662 Å, α = 90.00°, β = 90.00° and γ = 90.00°. The asymmetric unit holds Zn at (0.0000, 0.0000, 0.0000), In at (0.0000, 0.0000, 0.2940) and Se at (0.0000, 0.0000, 0.5458).

***

No. 4
Entry from Alexandria via LeMat-Bulk: a relaxed K6Hg3O crystal (PBE-GGA).

As for the electronic total energy: -1.69 eV per atom. The value obtained for the magnetization is 0.00 μB/cell. The uncorrected formation energy is -0.45 eV per atom.

It has space group C2/m (No. 12), with a = 13.4704 Å, b = 8.0238 Å, c = 7.4085 Å, α = 90.00°, β = 97.51° and γ = 90.00°. The asymmetric unit holds K at (0.1012, 0.2309, 0.3557), K at (0.1363, 0.0000, 0.8053), Hg at (0.0000, 0.5000, 0.0000), Hg at (0.1667, 0.5000, 0.7766) and O at (0.0000, 0.0000, 0.5000).

***

No. 5
Entry from Alexandria via LeMat-Bulk: a relaxed LaPr3Mg crystal (PBE-GGA).

As for the electronic total energy: -4.00 eV per atom. The value obtained for the magnetization is 0.00 μB/cell. The energy above the most stable polymorph in this dataset is 10.9 kJ per mole of atoms. The calculated formation energy is 0.17 eV/atom.

It has space group P2_1/m (No. 11), with a = 3.8696 Å, b = 9.8545 Å, c = 9.7859 Å, α = 90.00°, β = 101.34° and γ = 90.00°. The asymmetric unit holds La at (0.0145, 0.2500, 0.0227), Pr at (0.1991, 0.2500, 0.4001), Pr at (0.3989, 0.0044, 0.7985) and Mg at (0.1655, 0.7500, 0.3290).

***

No. 6
Entry from Alexandria via LeMat-Bulk: a relaxed Na5YO4 crystal (PBE-GGA).

As for the electronic total energy: -5.08 eV per atom. The value obtained for the magnetization is 0.00 μB/cell. The uncorrected formation energy is -1.79 eV per atom.

It has space group Immm (No. 71), with a = 3.5451 Å, b = 6.3971 Å, c = 13.1075 Å, α = 90.00°, β = 90.00° and γ = 90.00°. The asymmetric unit holds Na at (0.0000, 0.0000, 0.0000), Na at (0.0000, 0.2355, 0.3266), Y at (0.0000, 0.5000, 0.0000), O at (0.0000, 0.2379, 0.5000) and O at (0.0000, 0.5000, 0.1848).

***

No. 7
Entry from Alexandria via LeMat-Bulk: a relaxed SrHo2CrN4 crystal (PBE-GGA).

As for the electronic total energy: -7.93 eV per atom. The value obtained for the magnetization is 7.41 μB/cell. The uncorrected formation energy is -1.21 eV per atom.

It has space group Cmcm (No. 63), with a = 3.4232 Å, b = 11.8572 Å, c = 11.6608 Å, α = 90.00°, β = 90.00° and γ = 90.00°. The asymmetric unit holds Sr at (0.0000, 0.0910, 0.2500), Ho at (0.0000, 0.3701, 0.0417), Cr at (0.0000, 0.1761, 0.7500), N at (0.0000, 0.0000, 0.0000), N at (0.0000, 0.2595, 0.6218) and N at (0.0000, 0.4037, 0.2500).

***

No. 8
Entry from Alexandria via LeMat-Bulk: a relaxed DyHoRh2 crystal (PBE-GGA).

As for the electronic total energy: -6.86 eV per atom. The value obtained for the magnetization is 0.00 μB/cell. The energy above the most stable polymorph in this dataset is 0.2 kJ per mole of atoms. The calculated formation energy is -0.89 eV/atom.

It has space group P4/mmm (No. 123), with a = 4.7705 Å, b = 4.7705 Å, c = 3.5073 Å, α = 90.00°, β = 90.00° and γ = 90.00°. The asymmetric unit holds Dy at (0.0000, 0.0000, 0.0000), Ho at (0.5000, 0.5000, 0.0000) and Rh at (0.0000, 0.5000, 0.5000).

***

No. 9
Entry from Alexandria via LeMat-Bulk: a relaxed Ga2IrSN crystal (PBE-GGA).

As for the electronic total energy: -4.57 eV per atom. The value obtained for the magnetization is 0.00 μB/cell. The uncorrected formation energy is 0.90 eV per atom.

It has space group P4/mmm (No. 123), with a = 4.9361 Å, b = 4.9361 Å, c = 3.1976 Å, α = 90.00°, β = 90.00° and γ = 90.00°. The asymmetric unit holds Ga at (0.0000, 0.5000, 0.0000), Ir at (0.0000, 0.0000, 0.5000), S at (0.5000, 0.5000, 0.0000) and N at (0.5000, 0.5000, 0.5000).

***

No. 10
Entry from Alexandria via LeMat-Bulk: a relaxed PmSm4Te5 crystal (PBE-GGA).

As for the electronic total energy: -5.32 eV per atom. The value obtained for the magnetization is 0.00 μB/cell. The uncorrected formation energy is -1.39 eV per atom.

It has space group I4/mmm (No. 139), with a = 4.4389 Å, b = 4.4389 Å, c = 31.6138 Å, α = 90.00°, β = 90.00° and γ = 90.00°. The asymmetric unit holds Pm at (0.0000, 0.0000, 0.0000), Sm at (0.0000, 0.0000, 0.2042), Sm at (0.0000, 0.0000, 0.4027), Te at (0.0000, 0.0000, 0.1019), Te at (0.0000, 0.0000, 0.3028) and Te at (0.0000, 0.0000, 0.5000).

***

No. 11
Entry from Alexandria via LeMat-Bulk: a relaxed SiTc3 crystal (PBE-GGA).

As for the electronic total energy: -9.39 eV per atom. The value obtained for the magnetization is 0.00 μB/cell. The uncorrected formation energy is -0.26 eV per atom. The energy above the most stable polymorph in this dataset is 0.0 kJ per mole of atoms.

It has space group Immm (No. 71), with a = 2.9734 Å, b = 4.3219 Å, c = 8.6095 Å, α = 90.00°, β = 90.00° and γ = 90.00°. The asymmetric unit holds Si at (0.0000, 0.0000, 0.0000), Tc at (0.0000, 0.0000, 0.5000) and Tc at (0.0000, 0.5000, 0.2667).

***

No. 12
Entry from Alexandria via LeMat-Bulk: a relaxed La2ScAs crystal (PBE-GGA).

As for the electronic total energy: -5.42 eV per atom. The value obtained for the magnetization is 0.72 μB/cell. The calculated formation energy is -0.21 eV/atom.

It has space group F-43m (No. 216), with a = 7.4380 Å, b = 7.4380 Å, c = 7.4380 Å, α = 90.00°, β = 90.00° and γ = 90.00°. The asymmetric unit holds La at (0.0000, 0.0000, 0.0000), La at (0.2500, 0.2500, 0.2500), Sc at (0.2500, 0.2500, 0.7500) and As at (0.0000, 0.0000, 0.5000).